# NpGeAu2

A relaxed structure of NpGeAu2 (PBE, the Alexandria database).

The structure in CIF format:
```
data_NpGeAu2
_chemical_formula_sum 'Np4 Ge4 Au8'
_cell_length_a 6.949
_cell_length_b 6.949
_cell_length_c 6.949
_cell_angle_alpha 90.00
_cell_angle_beta 90.00
_cell_angle_gamma 90.00
_space_group_name_H-M_alt 'F m -3 m'
_space_group_IT_number 225
_space_group_name_Hall '-F 4 2 3'
loop_
_atom_site_label
_atom_site_fract_x
_atom_site_fract_y
_atom_site_fract_z
_atom_site_occupancy
Np1 0.000 0.000 0.000 1
Ge1 0.000 0.000 0.500 1
Au1 0.250 0.250 0.250 1
```

Properties
The volume comes out at 335.5 Å³/cell. The value obtained for the total magnetization is 3.95 μB per formula unit. The formation energy from the elements is -0.082 eV/atom. For the energy, the calculation gives -97.76 eV for the cell shown.

# ZrMn2Te

A relaxed structure of ZrMn2Te (PBE, the Alexandria database).

The structure in CIF format:
```
data_ZrMn2Te
_chemical_formula_sum 'Zr4 Mn8 Te4'
_cell_length_a 7.614
_cell_length_b 7.614
_cell_length_c 5.652
_cell_angle_alpha 90.00
_cell_angle_beta 90.00
_cell_angle_gamma 90.00
_space_group_name_H-M_alt 'I -4 2 d'
_space_group_IT_number 122
_space_group_name_Hall 'I -4 2bw'
loop_
_atom_site_label
_atom_site_fract_x
_atom_site_fract_y
_atom_site_fract_z
_atom_site_occupancy
Zr1 0.000 0.000 0.000 1
Mn1 0.228 0.250 0.625 1
Te1 0.000 0.000 0.500 1
```

Properties
The volume comes out at 327.6 Å³/cell. The raw formation energy is 0.309 eV per atom. The value obtained for the total magnetization is 6.88 μB per formula unit. For the energy, the calculation gives -115.16 eV for the cell shown.

# K2Zn4InGe3

A relaxed structure of K2Zn4InGe3 (PBE, the Alexandria database).

The structure in CIF format:
```
data_K2Zn4InGe3
_chemical_formula_sum 'K2 Zn4 In1 Ge3'
_cell_length_a 4.446
_cell_length_b 4.446
_cell_length_c 11.300
_cell_angle_alpha 90.00
_cell_angle_beta 90.00
_cell_angle_gamma 90.00
_space_group_name_H-M_alt 'P -4 m 2'
_space_group_IT_number 115
loop_
_space_group_symop_operation_xyz
'x,y,z'
'y,-x,-z'
'-x,-y,z'
'-y,x,-z'
'-x,y,z'
'-y,-x,-z'
'x,-y,z'
'y,x,-z'
loop_
_atom_site_label
_atom_site_fract_x
_atom_site_fract_y
_atom_site_fract_z
_atom_site_occupancy
K1 0.000 0.500 0.238 1
Zn1 0.000 0.000 0.000 1
Zn2 0.000 0.500 0.650 1
Zn3 0.500 0.500 0.000 1
In1 0.000 0.000 0.500 1
Ge1 0.000 0.500 0.875 1
Ge2 0.500 0.500 0.500 1
```

Properties
The volume comes out at 223.4 Å³/cell. The value obtained for the total magnetization is 0.00 μB per formula unit. The formation energy from the elements is -0.059 eV/atom. For the energy, the calculation gives -24.48 eV for the cell shown.

# Dy2Y3TmAs6

A relaxed structure of Dy2Y3TmAs6 (PBE, the Alexandria database).

The structure in CIF format:
```
data_Dy2Y3TmAs6
_chemical_formula_sum 'Dy4 Y6 Tm2 As12'
_cell_length_a 17.921
_cell_length_b 4.112
_cell_length_c 8.223
_cell_angle_alpha 90.00
_cell_angle_beta 103.25
_cell_angle_gamma 90.00
_space_group_name_H-M_alt 'C 1 2/m 1'
_space_group_IT_number 12
loop_
_space_group_symop_operation_xyz
'x,y,z'
'-x,-y,-z'
'-x,y,-z'
'x,-y,z'
'x+1/2,y+1/2,z'
'-x+1/2,-y+1/2,-z'
'-x+1/2,y+1/2,-z'
'x+1/2,-y+1/2,z'
loop_
_atom_site_label
_atom_site_fract_x
_atom_site_fract_y
_atom_site_fract_z
_atom_site_occupancy
Dy1 0.166 0.000 0.333 1
Y1 0.000 0.500 0.500 1
Y2 0.167 0.000 0.834 1
Tm1 0.000 0.500 0.000 1
As1 0.000 0.000 0.247 1
As2 0.166 0.500 0.083 1
As3 0.167 0.500 0.583 1
```

Properties
The volume comes out at 589.9 Å³/cell. The value obtained for the total magnetization is 0.00 μB per formula unit. The formation energy from the elements is -1.541 eV/atom. For the energy, the calculation gives -158.91 eV for the cell shown.

# Dy2Tm3Si4

A relaxed structure of Dy2Tm3Si4 (PBE, the Alexandria database).

The structure in CIF format:
```
data_Dy2Tm3Si4
_chemical_formula_sum 'Dy4 Tm6 Si8'
_cell_length_a 7.586
_cell_length_b 7.631
_cell_length_c 7.306
_cell_angle_alpha 90.00
_cell_angle_beta 107.18
_cell_angle_gamma 90.00
_space_group_name_H-M_alt 'P 1 21/c 1'
_space_group_IT_number 14
loop_
_space_group_symop_operation_xyz
'x,y,z'
'-x,-y,-z'
'-x,y+1/2,-z+1/2'
'x,-y+1/2,z+1/2'
loop_
_atom_site_label
_atom_site_fract_x
_atom_site_fract_y
_atom_site_fract_z
_atom_site_occupancy
Dy1 0.197 0.179 0.081 1
Tm1 0.245 0.681 0.252 1
Tm2 0.500 0.000 0.500 1
Si1 0.079 0.530 0.871 1
Si2 0.489 0.122 0.875 1
```

Properties
The volume comes out at 404.1 Å³/cell. The raw formation energy is -0.764 eV per atom. The value obtained for the total magnetization is 0.00 μB per formula unit. For the energy, the calculation gives -102.38 eV for the cell shown.

# RbSiS2O8

A relaxed structure of RbSiS2O8 (PBE, the Alexandria database).

The structure in CIF format:
```
data_RbSiS2O8
_chemical_formula_sum 'Rb2 Si2 S4 O16'
_cell_length_a 8.178
_cell_length_b 5.216
_cell_length_c 8.331
_cell_angle_alpha 90.00
_cell_angle_beta 95.81
_cell_angle_gamma 90.00
_space_group_name_H-M_alt 'C 1 2/m 1'
_space_group_IT_number 12
loop_
_space_group_symop_operation_xyz
'x,y,z'
'-x,-y,-z'
'-x,y,-z'
'x,-y,z'
'x+1/2,y+1/2,z'
'-x+1/2,-y+1/2,-z'
'-x+1/2,y+1/2,-z'
'x+1/2,-y+1/2,z'
loop_
_atom_site_label
_atom_site_fract_x
_atom_site_fract_y
_atom_site_fract_z
_atom_site_occupancy
Rb1 0.000 0.000 0.000 1
Si1 0.000 0.000 0.500 1
S1 0.127 0.500 0.312 1
O1 0.022 0.263 0.335 1
O2 0.183 0.500 0.151 1
O3 0.233 0.000 0.556 1
```

Properties
The volume comes out at 353.6 Å³/cell. The raw formation energy is -1.470 eV per atom. The value obtained for the total magnetization is 0.00 μB per formula unit. For the energy, the calculation gives -143.91 eV for the cell shown.

# LiLaDyAl

A relaxed structure of LiLaDyAl (PBE, the Alexandria database).

The structure in CIF format:
```
data_LiLaDyAl
_chemical_formula_sum 'Li4 La4 Dy4 Al4'
_cell_length_a 7.475
_cell_length_b 7.475
_cell_length_c 7.475
_cell_angle_alpha 90.00
_cell_angle_beta 90.00
_cell_angle_gamma 90.00
_space_group_name_H-M_alt 'F -4 3 m'
_space_group_IT_number 216
_space_group_name_Hall 'F -4 2 3'
loop_
_atom_site_label
_atom_site_fract_x
_atom_site_fract_y
_atom_site_fract_z
_atom_site_occupancy
Li1 0.000 0.000 0.000 1
La1 0.250 0.250 0.250 1
Dy1 0.250 0.250 0.750 1
Al1 0.000 0.000 0.500 1
```

Properties
The volume comes out at 417.7 Å³/cell. The value obtained for the total magnetization is 0.00 μB per formula unit. The formation energy from the elements is -0.192 eV/atom. For the energy, the calculation gives -63.81 eV for the cell shown.

# V2TcMo6

A relaxed structure of V2TcMo6 (PBE, the Alexandria database).

The structure in CIF format:
```
data_V2TcMo6
_chemical_formula_sum 'V4 Tc2 Mo12'
_cell_length_a 7.799
_cell_length_b 7.912
_cell_length_c 4.469
_cell_angle_alpha 90.00
_cell_angle_beta 90.00
_cell_angle_gamma 90.00
_space_group_name_H-M_alt 'P n n m'
_space_group_IT_number 58
loop_
_space_group_symop_operation_xyz
'x,y,z'
'-x,-y,-z'
'-x,-y,z'
'x,y,-z'
'x+1/2,-y+1/2,-z+1/2'
'-x+1/2,y+1/2,z+1/2'
'-x+1/2,y+1/2,-z+1/2'
'x+1/2,-y+1/2,z+1/2'
loop_
_atom_site_label
_atom_site_fract_x
_atom_site_fract_y
_atom_site_fract_z
_atom_site_occupancy
V1 0.163 0.233 0.000 1
Tc1 0.000 0.000 0.500 1
Mo1 0.001 0.669 0.500 1
Mo2 0.165 0.569 0.000 1
Mo3 0.166 0.902 0.000 1
```

Properties
The polymorph energy (0 for the lowest one) is 0 meV/atom. The volume comes out at 275.7 Å³/cell. The value obtained for the total magnetization is 0.00 μB per formula unit. The formation energy from the elements is 0.026 eV/atom. For the energy, the calculation gives -186.71 eV for the cell shown.

# HoPaCu4

A relaxed structure of HoPaCu4 (PBE, the Alexandria database).

The structure in CIF format:
```
data_HoPaCu4
_chemical_formula_sum 'Ho4 Pa4 Cu16'
_cell_length_a 7.370
_cell_length_b 7.370
_cell_length_c 7.370
_cell_angle_alpha 90.00
_cell_angle_beta 90.00
_cell_angle_gamma 90.00
_space_group_name_H-M_alt 'F -4 3 m'
_space_group_IT_number 216
_space_group_name_Hall 'F -4 2 3'
loop_
_atom_site_label
_atom_site_fract_x
_atom_site_fract_y
_atom_site_fract_z
_atom_site_occupancy
Ho1 0.000 0.000 0.000 1
Pa1 0.250 0.250 0.250 1
Cu1 0.125 0.125 0.625 1
```

Properties
The volume comes out at 400.3 Å³/cell. The value obtained for the total magnetization is 0.00 μB per formula unit. The formation energy from the elements is -0.034 eV/atom. For the energy, the calculation gives -122.64 eV for the cell shown.

# Ac4TbPm

A relaxed structure of Ac4TbPm (PBE, the Alexandria database).

The structure in CIF format:
```
data_Ac4TbPm
_chemical_formula_sum 'Ac16 Tb4 Pm4'
_cell_length_a 10.117
_cell_length_b 10.117
_cell_length_c 10.117
_cell_angle_alpha 90.00
_cell_angle_beta 90.00
_cell_angle_gamma 90.00
_space_group_name_H-M_alt 'F -4 3 m'
_space_group_IT_number 216
_space_group_name_Hall 'F -4 2 3'
loop_
_atom_site_label
_atom_site_fract_x
_atom_site_fract_y
_atom_site_fract_z
_atom_site_occupancy
Ac1 0.125 0.125 0.125 1
Tb1 0.000 0.000 0.500 1
Pm1 0.250 0.250 0.750 1
```

Properties
The polymorph energy (0 for the lowest one) is 211 meV/atom. The volume comes out at 1035.4 Å³/cell. The value obtained for the total magnetization is 0.00 μB per formula unit. The formation energy from the elements is 0.358 eV/atom. For the energy, the calculation gives -94.66 eV for the cell shown.

# BaY4Hg

A relaxed structure of BaY4Hg (PBE, the Alexandria database).

The structure in CIF format:
```
data_BaY4Hg
_chemical_formula_sum 'Ba4 Y16 Hg4'
_cell_length_a 9.444
_cell_length_b 9.444
_cell_length_c 9.444
_cell_angle_alpha 90.00
_cell_angle_beta 90.00
_cell_angle_gamma 90.00
_space_group_name_H-M_alt 'F -4 3 m'
_space_group_IT_number 216
_space_group_name_Hall 'F -4 2 3'
loop_
_atom_site_label
_atom_site_fract_x
_atom_site_fract_y
_atom_site_fract_z
_atom_site_occupancy
Ba1 0.000 0.000 0.000 1
Y1 0.124 0.124 0.376 1
Hg1 0.250 0.250 0.750 1
```

Properties
The volume comes out at 842.3 Å³/cell. The value obtained for the total magnetization is 0.00 μB per formula unit. The formation energy from the elements is 0.319 eV/atom. For the energy, the calculation gives -104.66 eV for the cell shown.

# Tb2HoErS6

A relaxed structure of Tb2HoErS6 (PBE, the Alexandria database).

The structure in CIF format:
```
data_Tb2HoErS6
_chemical_formula_sum 'Tb6 Ho3 Er3 S18'
_cell_length_a 6.9045
_cell_length_b 6.9045
_cell_length_c 18.4877
_cell_angle_alpha 90.00
_cell_angle_beta 90.00
_cell_angle_gamma 120.00
_space_group_name_H-M_alt 'R 3'
_space_group_IT_number 146
_space_group_name_Hall 'R 3'
loop_
_atom_site_label
_atom_site_fract_x
_atom_site_fract_y
_atom_site_fract_z
_atom_site_occupancy
Tb1 0.0000 0.0000 0.0000 1
Tb2 0.0000 0.0000 0.4998 1
Ho1 0.0000 0.0000 0.2012 1
Er1 0.0000 0.0000 0.7009 1
S1 0.0361 0.3637 0.2688 1
S2 0.0357 0.6736 0.7685 1
```

Properties
The volume comes out at 763.3 Å³/cell. The raw formation energy is -2.061 eV per atom. The value obtained for the total magnetization is 0.00 μB per formula unit. For the energy, the calculation gives -191.34 eV for the cell shown.

Number 1: calculated density 13.9 g/cm3. Number 2: calculated density 6.7 g/cm3. Number 3: calculated density 5.0 g/cm3. Number 4: calculated density 6.8 g/cm3. Number 5: calculated density 7.8 g/cm3. Number 6: calculated density 2.9 g/cm3. Number 7: calculated density 5.3 g/cm3. Number 8: calculated density 9.3 g/cm3. Number 9: calculated density 10.8 g/cm3. Number 10: calculated density 7.8 g/cm3. Number 11: calculated density 5.5 g/cm3. Number 12: calculated density 5.5 g/cm3.